[1]
Material: KFeTe
Method: DFT, PBE
State: relaxed

## Properties
**Mass density**: 4.6 g/cm3
**Energy relative to the elements, uncorrected**: 0.215 eV per atom
**Symmetry**: F-43m (216)
**Energy above the lowest structure with this stoichiometry**: 0.367 eV per atom
**Electronic total energy**: -4.02 eV per atom

Lattice parameters (Å, degrees): 4.8467 4.8467 4.8467 60.00 60.00 60.00
Each line ends with the local moment (μB).
Fractional coordinates of all 3 atoms:
Fe 0.7500 0.7500 0.7500  2.76
K 0.0000 0.0000 0.0000  0.03
Te 0.5000 0.5000 0.5000  0.01

***

[2]
Material: NaMg2Zn2In2
Method: DFT, PBE
State: relaxed

## Properties
**Mass density**: 4.4 g/cm3
**Symmetry**: R-3m (166)
**Electronic total energy**: -1.82 eV per atom

Lattice parameters (Å, degrees): 4.7284 4.7284 8.7970 74.41 74.41 60.00
Fractional coordinates of all 7 atoms:
Na 0.0000 0.0000 0.0000
Mg 0.1323 0.1323 0.6030
Mg 0.8677 0.8677 0.3970
Zn 0.5893 0.5893 0.2320
Zn 0.4107 0.4107 0.7680
In 0.7449 0.7449 0.7653
In 0.2551 0.2551 0.2347

***

[3]
Material: Zr2TcSe
Method: DFT, PBE
State: relaxed

## Properties
**Mass density**: 8.0 g/cm3
**Energy relative to the elements, uncorrected**: -0.287 eV per atom
**Symmetry**: I4/mmm (139)
**Electronic total energy**: -8.02 eV per atom

Lattice parameters (Å, degrees): 4.9278 4.9278 4.9278 126.45 126.45 79.15
Fractional coordinates of all 4 atoms:
Se 0.7500 0.2500 0.5000
Tc 0.2500 0.7500 0.5000
Zr 0.0000 0.0000 0.0000
Zr 0.5000 0.5000 0.0000

***

[4]
Material: K2LiI3
Method: DFT, PBE
State: relaxed

## Properties
**Mass density**: 3.2 g/cm3
**Energy relative to the elements, uncorrected**: -1.384 eV per atom
**Symmetry**: Pnma (62)
**Energy above the lowest structure with this stoichiometry**: 0.000 eV per atom
**Electronic total energy**: -2.84 eV per atom

Lattice parameters (Å, degrees): 4.8307 10.1268 19.6618 90.00 90.00 90.00
Fractional coordinates of all 24 atoms:
K 0.2500 0.2564 0.9560
K 0.7500 0.7436 0.0440
K 0.7500 0.2436 0.4560
K 0.2500 0.7564 0.5440
K 0.7500 0.0801 0.7135
K 0.2500 0.9199 0.2865
K 0.2500 0.4199 0.2135
K 0.7500 0.5801 0.7865
Li 0.2500 0.3736 0.6339
Li 0.7500 0.6264 0.3661
Li 0.7500 0.1264 0.1339
Li 0.2500 0.8736 0.8661
I 0.2500 0.3181 0.7721
I 0.7500 0.6819 0.2279
I 0.7500 0.1819 0.2721
I 0.2500 0.8181 0.7279
I 0.7500 0.0045 0.8997
I 0.2500 0.9955 0.1003
I 0.2500 0.4955 0.3997
I 0.7500 0.5045 0.6003
I 0.2500 0.1287 0.5722
I 0.7500 0.8713 0.4278
I 0.7500 0.3713 0.0722
I 0.2500 0.6287 0.9278

***

[5]
Material: Rb4NO
Method: DFT, PBE
State: relaxed

## Properties
**Mass density**: 3.6 g/cm3
**Energy relative to the elements, uncorrected**: -0.069 eV per atom
**Symmetry**: P4/mmm (123)
**Electronic total energy**: -2.93 eV per atom

Lattice parameters (Å, degrees): 4.9820 4.9820 7.0060 90.00 90.00 90.00
Each line ends with the local moment (μB).
Fractional coordinates of all 6 atoms:
Rb 0.0000 0.5000 0.2546  0.00
Rb 0.5000 0.0000 0.7454  0.00
Rb 0.0000 0.5000 0.7454  0.00
Rb 0.5000 0.0000 0.2546  0.00
N 0.5000 0.5000 0.0000  0.61
O 0.0000 0.0000 0.5000  0.01

***

[6]
Material: CaYTa2
Method: DFT, PBE
State: relaxed

## Properties
**Mass density**: 8.7 g/cm3
**Symmetry**: P2/m (10)
**Energy above the lowest structure with this stoichiometry**: 0.383 eV per atom
**Electronic total energy**: -7.38 eV per atom

Lattice parameters (Å, degrees): 5.1478 2.9989 6.7341 63.82 90.00 90.00
Fractional coordinates of all 4 atoms:
Y 0.5000 0.2500 0.2500
Ca 0.5000 0.7500 0.7500
Ta 0.0000 0.9863 0.0134
Ta 0.0000 0.5137 0.4866

***

[7]
Material: Tb2Nd6DyTm3
Method: DFT, PBE
State: relaxed

## Properties
**Mass density**: 7.8 g/cm3
**Symmetry**: C2/m (12)
**Electronic total energy**: -4.64 eV per atom

Lattice parameters (Å, degrees): 6.2575 6.2575 11.8095 95.05 95.05 120.00
Fractional coordinates of all 12 atoms:
Tb 0.3333 0.6667 0.0000
Tb 0.6667 0.3333 0.0000
Nd 0.9157 0.5825 0.7480
Nd 0.7510 0.7510 0.2520
Nd 0.0843 0.4175 0.2520
Nd 0.5825 0.9157 0.7480
Nd 0.2490 0.2490 0.7480
Nd 0.4175 0.0843 0.2520
Dy 0.0000 0.0000 0.0000
Tm 0.1667 0.8333 0.5000
Tm 0.8333 0.1667 0.5000
Tm 0.5000 0.5000 0.5000

***

[8]
Material: ZrSc2Co2
Method: DFT, PBE
State: relaxed

## Properties
**Mass density**: 5.9 g/cm3
**Symmetry**: P4/mbm (127)
**Energy above the lowest structure with this stoichiometry**: 0.209 eV per atom
**Electronic total energy**: -7.14 eV per atom

Lattice parameters (Å, degrees): 7.6380 7.6380 2.8869 90.00 90.00 90.00
Fractional coordinates of all 10 atoms:
Sc 0.3666 0.8666 0.0000
Sc 0.8666 0.6334 0.0000
Sc 0.6334 0.1334 0.0000
Sc 0.1334 0.3666 0.0000
Co 0.1680 0.6680 0.5000
Co 0.6680 0.8320 0.5000
Co 0.8320 0.3320 0.5000
Co 0.3320 0.1680 0.5000
Zr 0.0000 0.0000 0.0000
Zr 0.5000 0.5000 0.0000